Below is ZnNi9Sb2 after structural relaxation, with properties calculated at the PBE-GGA level.

## Properties
As for the crystal system: tetragonal. The value obtained for the energy is -5.28 eV per atom. The calculated volume comes out at 149.48 Å³/cell.

Unit cell a=3.6998 b=3.6998 c=10.9202 alpha=90.00 beta=90.00 gamma=90.00
Last column: nearest neighbours and their distance in Å.
Fractional positions:
Zn 0.0000 0.0000 0.0000  12 Ni 2.53-2.62
Ni 0.0000 0.5000 0.1578  8 Ni 2.53-2.66, 2 Zn 2.53, 2 Sb 2.59
Ni 0.0000 0.5000 0.5000  8 Ni 2.60-2.62, 4 Sb 2.67
Ni 0.0000 0.5000 0.8422  8 Ni 2.53-2.66, 2 Zn 2.53, 2 Sb 2.59
Ni 0.5000 0.0000 0.1578  8 Ni 2.53-2.66, 2 Zn 2.53, 2 Sb 2.59
Ni 0.5000 0.0000 0.5000  8 Ni 2.60-2.62, 4 Sb 2.67
Ni 0.5000 0.0000 0.8422  8 Ni 2.53-2.66, 2 Zn 2.53, 2 Sb 2.59
Ni 0.5000 0.5000 0.0000  8 Ni 2.53, 4 Zn 2.62
Ni 0.5000 0.5000 0.3329  8 Ni 2.60-2.66, 4 Sb 2.62
Ni 0.5000 0.5000 0.6671  8 Ni 2.60-2.66, 4 Sb 2.62
Sb 0.0000 0.0000 0.3243  12 Ni 2.59-2.67
Sb 0.0000 0.0000 0.6757  12 Ni 2.59-2.67